Record 1
Ba4Nb3CrO12: relaxed, GGA+U.

Structure (CIF):
```
data_Ba4Nb3CrO12
_chemical_formula_sum 'Ba8 Nb6 Cr2 O24'
_space_group_name_H-M_alt 'I m -3 m'
_space_group_IT_number 229
_space_group_name_Hall '-I 4 2 3'
_cell_length_a 8.253
_cell_length_b 8.253
_cell_length_c 8.253
_cell_angle_alpha 90.00
_cell_angle_beta 90.00
_cell_angle_gamma 90.00
loop_
_atom_site_label
_atom_site_fract_x
_atom_site_fract_y
_atom_site_fract_z
Ba1 0.250 0.250 0.250
Nb1 0.000 0.000 0.500
Cr1 0.000 0.000 0.000
O1 0.000 0.000 0.251
O2 0.000 0.250 0.500
```

=====

Record 2
BaNbCr2O8: relaxed, GGA+U.

Structure (CIF):
```
data_BaNbCr2O8
_chemical_formula_sum 'Ba1 Nb1 Cr2 O8'
_space_group_name_H-M_alt 'P -3 m 1'
_space_group_IT_number 164
_space_group_name_Hall '-P 3 2"'
_cell_length_a 5.6468
_cell_length_b 5.6468
_cell_length_c 7.3136
_cell_angle_alpha 90.00
_cell_angle_beta 90.00
_cell_angle_gamma 120.00
loop_
_atom_site_label
_atom_site_fract_x
_atom_site_fract_y
_atom_site_fract_z
Ba1 0.0000 0.0000 0.0000
Nb1 0.0000 0.0000 0.5000
Cr1 0.3333 0.6667 0.7480
O1 0.1611 0.3222 0.6679
O2 0.3333 0.6667 0.9766
```

=====

Record 3
Ba2NbCrO6: relaxed, GGA+U.

Structure (CIF):
```
data_Ba2NbCrO6
_chemical_formula_sum 'Ba8 Nb4 Cr4 O24'
_space_group_name_H-M_alt 'P 63/m m c'
_space_group_IT_number 194
_space_group_name_Hall '-P 6c 2c'
_cell_length_a 5.8319
_cell_length_b 5.8319
_cell_length_c 19.1863
_cell_angle_alpha 90.00
_cell_angle_beta 90.00
_cell_angle_gamma 120.00
loop_
_atom_site_label
_atom_site_fract_x
_atom_site_fract_y
_atom_site_fract_z
Ba1 0.0000 0.0000 0.0000
Ba2 0.3333 0.6667 0.1418
Ba3 0.3333 0.6667 0.7500
Nb1 0.3333 0.6667 0.5640
Cr1 0.0000 0.0000 0.1817
O1 0.0000 0.5000 0.0000
O2 0.1503 0.3006 0.2500
O3 0.1696 0.3393 0.6207
```

=====

Record 4
BaNbCrO6: relaxed, GGA+U.

Structure (CIF):
```
data_BaNbCrO6
_chemical_formula_sum 'Ba2 Nb2 Cr2 O12'
_space_group_name_H-M_alt 'P 42 n m'
_space_group_IT_number 102
_space_group_name_Hall 'P 4n -2n'
_cell_length_a 5.586
_cell_length_b 5.586
_cell_length_c 10.012
_cell_angle_alpha 90.00
_cell_angle_beta 90.00
_cell_angle_gamma 90.00
loop_
_atom_site_label
_atom_site_fract_x
_atom_site_fract_y
_atom_site_fract_z
Ba1 0.000 0.000 0.000
Nb1 0.000 0.000 0.344
Cr1 0.000 0.000 0.634
O1 0.161 0.161 0.496
O2 0.185 0.815 0.713
O3 0.190 0.810 0.243
```

=====

Record 5
BaNb2CrO6: relaxed, GGA+U.

Structure (CIF):
```
data_BaNb2CrO6
_chemical_formula_sum 'Ba4 Nb8 Cr4 O24'
_space_group_name_H-M_alt 'F m -3 m'
_space_group_IT_number 225
_space_group_name_Hall '-F 4 2 3'
_cell_length_a 8.172
_cell_length_b 8.172
_cell_length_c 8.172
_cell_angle_alpha 90.00
_cell_angle_beta 90.00
_cell_angle_gamma 90.00
loop_
_atom_site_label
_atom_site_fract_x
_atom_site_fract_y
_atom_site_fract_z
Ba1 0.000 0.000 0.000
Nb1 0.250 0.250 0.250
Cr1 0.000 0.000 0.500
O1 0.000 0.250 0.250
```

=====

no.,E_tot (eV per cell),theoretical density (Mg/m³)
1,-317.547,6.335
2,-90.532,3.800
3,-310.484,6.060
4,-135.223,4.021
5,-329.848,5.735